Record 1
First-principles (PBE-GGA) data for a relaxed structure of NdEr2Cu2Si2, as listed in Alexandria.

a b c (Å): 4.2333 4.2333 9.6476
angles (deg): 77.33 77.33 60.00
Closest atoms and distances in Å follow each position.
Element x y z (fractional)
Nd (0.0000, 0.0000, 0.0000)  6 Cu 3.17, 6 Si 3.21
Si (0.7408, 0.7408, 0.7775)  3 Cu 2.44
Si (0.2592, 0.2592, 0.2225)  3 Cu 2.44
Er (0.1279, 0.1279, 0.6162)  3 Si 2.87, 3 Cu 2.90
Er (0.8721, 0.8721, 0.3838)  3 Si 2.87, 3 Cu 2.90
Cu (0.5946, 0.5946, 0.2162)  3 Si 2.44
Cu (0.4054, 0.4054, 0.7838)  3 Si 2.44

Calculated values
- Space-group type: R-3m
- E_form (uncorrected): -0.4813 eV/atom
- Volume: 144.8 Å³/f.u.


Record 2
First-principles (PBE-GGA) data for a relaxed structure of NdErCuSi, as listed in Alexandria.

a b c (Å): 5.0020 5.0020 5.0020
angles (deg): 60.00 60.00 60.00
Closest atoms and distances in Å follow each position.
Element x y z (fractional)
Cu (0.2500, 0.2500, 0.2500)  4 Er 3.06, 4 Nd 3.06
Si (0.7500, 0.7500, 0.7500)  4 Er 3.06, 4 Nd 3.06
Er (0.0000, 0.0000, 0.0000)  4 Cu 3.06, 4 Si 3.06
Nd (0.5000, 0.5000, 0.5000)  4 Si 3.06, 4 Cu 3.06

Calculated values
- Space-group type: F-43m
- E_form (uncorrected): -0.3895 eV/atom
- Volume: 88.5 Å³/f.u.


Record 3
First-principles (PBE-GGA) data for a relaxed structure of NdSmErCu, as listed in Alexandria.

a b c (Å): 3.5474 3.5474 8.7335
angles (deg): 90.00 90.00 90.00
Closest atoms and distances in Å follow each position.
Element x y z (fractional)
Er (0.5000, 0.5000, 0.3810)  4 Cu 2.95
Sm (0.5000, 0.5000, 0.7672)  4 Cu 3.10, 1 Er 3.37
Nd (0.0000, 0.0000, 0.0788)  4 Nd 3.55, 4 Er 3.64, 4 Sm 3.70
Cu (0.0000, 0.0000, 0.5577)  4 Er 2.95, 4 Sm 3.10

Calculated values
- Space-group type: P4mm
- Volume: 109.9 Å³/f.u.
- Energy of formation from the pure elements: -0.093 eV/atom


Record 4
First-principles (PBE-GGA) data for a relaxed structure of NdErCuSn, as listed in Alexandria.

a b c (Å): 5.2137 5.2137 5.2137
angles (deg): 60.00 60.00 60.00
Closest atoms and distances in Å follow each position.
Element x y z (fractional)
Er (0.0000, 0.0000, 0.0000)  4 Cu 3.19, 4 Sn 3.19
Cu (0.7500, 0.7500, 0.7500)  4 Er 3.19, 4 Nd 3.19
Sn (0.2500, 0.2500, 0.2500)  4 Nd 3.19, 4 Er 3.19
Nd (0.5000, 0.5000, 0.5000)  4 Sn 3.19, 4 Cu 3.19

Calculated values
- Space-group type: F-43m
- Volume: 100.2 Å³/f.u.
- Energy of formation from the pure elements: -0.410 eV/atom


Record 5
First-principles (PBE-GGA) data for a relaxed structure of TbNdErCu, as listed in Alexandria.

a b c (Å): 3.5188 3.5188 8.7069
angles (deg): 90.00 90.00 90.00
Closest atoms and distances in Å follow each position.
Element x y z (fractional)
Tb (0.5000, 0.5000, 0.7644)  4 Cu 3.03, 1 Er 3.34
Nd (0.0000, 0.0000, 0.0745)  4 Nd 3.52, 4 Er 3.64, 4 Tb 3.67
Er (0.5000, 0.5000, 0.3804)  4 Cu 2.96
Cu (0.0000, 0.0000, 0.5654)  4 Er 2.96, 4 Tb 3.03

Calculated values
- Space-group type: P4mm
- Volume: 107.8 Å³/f.u.
- Energy of formation from the pure elements: -0.105 eV/atom


Record 6
First-principles (PBE-GGA) data for a relaxed structure of Nd2ErCuTe5, as listed in Alexandria.

a b c (Å): 4.3069 9.7503 13.0069
angles (deg): 90.00 90.00 102.76
Closest atoms and distances in Å follow each position.
Element x y z (fractional)
Er (0.8095, 0.6190, 0.5094)  6 Te 2.91-3.11, 2 Cu 3.19
Er (0.1905, 0.3810, 0.0094)  6 Te 2.91-3.11, 2 Cu 3.19
Cu (0.5719, 0.1439, 0.9586)  4 Te 2.62-2.68
Cu (0.4281, 0.8561, 0.4586)  4 Te 2.62-2.68
Te (0.3538, 0.7076, 0.9991)  1 Er 3.11, 4 Nd 3.32-3.34
Te (0.0420, 0.0839, 0.0640)  2 Cu 2.62, 1 Er 2.91
Te (0.3113, 0.6226, 0.3433)  1 Cu 2.68
Te (0.9580, 0.9161, 0.5640)  2 Cu 2.62, 1 Er 2.91
Te (0.4998, 0.9996, 0.2868)  1 Cu 2.62
Te (0.2858, 0.5717, 0.6708)  2 Er 3.04, 3 Nd 3.26-3.37
Te (0.7142, 0.4283, 0.1708)  2 Er 3.04, 3 Nd 3.26-3.37
Te (0.5002, 0.0004, 0.7868)  1 Cu 2.62
Te (0.6887, 0.3774, 0.8433)  1 Cu 2.68
Te (0.6462, 0.2924, 0.4991)  1 Er 3.11, 4 Nd 3.32-3.34
Nd (0.8908, 0.7816, 0.1861)  8 Te 3.26-3.37
Nd (0.8755, 0.7511, 0.8059)  8 Te 3.21-3.59
Nd (0.1092, 0.2184, 0.6861)  8 Te 3.26-3.37
Nd (0.1245, 0.2489, 0.3059)  8 Te 3.21-3.59

Calculated values
- Space-group type: Cmc2_1
- E_form (uncorrected): -1.1995 eV/atom
- Volume: 266.4 Å³/f.u.


Record 7
First-principles (PBE-GGA) data for a relaxed structure of NdErTlCu, as listed in Alexandria.

a b c (Å): 5.2456 5.2456 5.2456
angles (deg): 60.00 60.00 60.00
Closest atoms and distances in Å follow each position.
Element x y z (fractional)
Nd (0.5000, 0.5000, 0.5000)  4 Tl 3.21, 4 Cu 3.21
Er (0.0000, 0.0000, 0.0000)  4 Cu 3.21, 4 Tl 3.21
Cu (0.2500, 0.2500, 0.2500)  4 Nd 3.21, 4 Er 3.21
Tl (0.7500, 0.7500, 0.7500)  4 Nd 3.21, 4 Er 3.21

Calculated values
- Space-group type: F-43m
- Volume: 102.1 Å³/f.u.
- Energy of formation from the pure elements: -0.219 eV/atom


Record 8
First-principles (PBE-GGA) data for a relaxed structure of NdYErCu, as listed in Alexandria.

a b c (Å): 3.5122 3.5122 8.7552
angles (deg): 90.00 90.00 90.00
Closest atoms and distances in Å follow each position.
Element x y z (fractional)
Cu (0.0000, 0.0000, 0.5648)  4 Er 2.96, 4 Y 3.03
Er (0.5000, 0.5000, 0.3807)  4 Cu 2.96
Nd (0.0000, 0.0000, 0.0752)  4 Nd 3.51, 4 Er 3.65, 4 Y 3.69
Y (0.5000, 0.5000, 0.7640)  4 Cu 3.03, 1 Er 3.36

Calculated values
- Space-group type: P4mm
- Volume: 108.0 Å³/f.u.
- Energy of formation from the pure elements: -0.105 eV/atom


Record 9
First-principles (PBE-GGA) data for a relaxed structure of Er6CuNi2, as listed in Alexandria.

a b c (Å): 8.1653 8.1653 8.1653
angles (deg): 107.25 110.24 110.95
Closest atoms and distances in Å follow each position.
Element x y z (fractional)
Er (0.1876, 0.2443, 0.4319)  1 Ni 2.77, 2 Cu 2.94-3.03
Er (0.3082, 0.9819, 0.6737)  3 Ni 2.67-2.86
Er (0.9038, 0.7262, 0.1776)  3 Ni 2.91-2.96, 1 Cu 3.03
Er (0.0962, 0.2738, 0.8224)  3 Ni 2.91-2.96, 1 Cu 3.03
Er (0.8124, 0.2443, 0.0567)  1 Ni 2.77, 2 Cu 2.94-3.03
Er (0.8124, 0.7557, 0.5681)  1 Ni 2.77, 2 Cu 2.94-3.03
Er (0.1876, 0.7557, 0.9433)  1 Ni 2.77, 2 Cu 2.94-3.03
Er (0.3082, 0.6346, 0.3263)  3 Ni 2.67-2.86
Er (0.4513, 0.2738, 0.1776)  3 Ni 2.91-2.96, 1 Cu 3.03
Er (0.6918, 0.3654, 0.6737)  3 Ni 2.67-2.86
Er (0.5487, 0.7262, 0.8224)  3 Ni 2.91-2.96, 1 Cu 3.03
Er (0.6918, 0.0181, 0.3263)  3 Ni 2.67-2.86
Ni (0.5000, 0.3803, 0.8803)  1 Ni 2.32
Ni (0.5000, 0.6197, 0.1197)  1 Ni 2.32
Ni (0.6582, 0.0000, 0.6582)  8 Er 2.77-2.96, 1 Ni 2.96
Ni (0.3418, 0.0000, 0.3418)  8 Er 2.77-2.96, 1 Ni 2.96
Cu (0.0000, 0.0000, 0.0000)  8 Er 2.94-3.03, 2 Ni 3.19
Cu (0.0000, 0.5000, 0.5000)  8 Er 3.03-3.31

Calculated values
- Space-group type: Immm
- Volume: 209.3 Å³/f.u.
- Energy of formation from the pure elements: -0.274 eV/atom


Record 10
First-principles (PBE-GGA) data for a relaxed structure of ErCu2Ni9, as listed in Alexandria.

a b c (Å): 4.6973 7.9804 7.9804
angles (deg): 90.00 90.00 90.00
Closest atoms and distances in Å follow each position.
Element x y z (fractional)
Ni (0.7607, 0.8208, 0.3208)  7 Ni 2.25-2.46
Ni (0.2393, 0.8208, 0.3208)  7 Ni 2.25-2.46
Ni (0.5000, 0.5000, 0.0000)  8 Ni 2.36-2.37
Ni (0.5000, 0.7904, 0.0637)  8 Ni 2.37-2.56
Ni (0.2393, 0.1792, 0.6792)  7 Ni 2.25-2.46
Ni (0.5000, 0.5637, 0.2904)  8 Ni 2.37-2.56
Ni (0.2393, 0.3208, 0.1792)  7 Ni 2.25-2.46
Ni (0.2393, 0.6792, 0.8208)  7 Ni 2.25-2.46
Ni (0.5000, 0.2096, 0.9363)  8 Ni 2.37-2.56
Ni (0.7607, 0.1792, 0.6792)  7 Ni 2.25-2.46
Ni (0.5000, 0.9363, 0.7904)  8 Ni 2.37-2.56
Ni (0.5000, 0.7096, 0.5637)  8 Ni 2.37-2.56
Ni (0.7607, 0.3208, 0.1792)  7 Ni 2.25-2.46
Ni (0.5000, 0.4363, 0.7096)  8 Ni 2.37-2.56
Ni (0.5000, 0.0637, 0.2096)  8 Ni 2.37-2.56
Ni (0.5000, 0.0000, 0.5000)  8 Ni 2.36-2.37
Ni (0.5000, 0.2904, 0.4363)  8 Ni 2.37-2.56
Ni (0.7607, 0.6792, 0.8208)  7 Ni 2.25-2.46
Cu (0.0000, 0.8850, 0.6150)  12 Ni 2.58-2.76, 1 Cu 2.60
Cu (0.0000, 0.6150, 0.1150)  12 Ni 2.58-2.76, 1 Cu 2.60
Cu (0.0000, 0.3850, 0.8850)  12 Ni 2.58-2.76, 1 Cu 2.60
Cu (0.0000, 0.1150, 0.3850)  12 Ni 2.58-2.76, 1 Cu 2.60
Er (0.0000, 0.0000, 0.0000)  16 Ni 2.93-3.14, 4 Cu 3.21
Er (0.0000, 0.5000, 0.5000)  16 Ni 2.93-3.14, 4 Cu 3.21

Calculated values
- Relative energy among the computed polymorphs: 0 meV per atom
- Space-group type: P4/mbm
- Volume: 149.6 Å³/f.u.
- Energy of formation from the pure elements: -0.137 eV/atom


Record 11
First-principles (PBE-GGA) data for a relaxed structure of Er2Cu6Ni3, as listed in Alexandria.

a b c (Å): 3.8442 7.0361 7.0361
angles (deg): 120.00 90.00 90.00
Closest atoms and distances in Å follow each position.
Element x y z (fractional)
Ni (0.5000, 0.0000, 0.5912)  5 Cu 2.40-2.51
Ni (0.5000, 0.4088, 0.4088)  5 Cu 2.40-2.51
Ni (0.5000, 0.5912, 0.0000)  5 Cu 2.40-2.51
Cu (0.5000, 0.2503, 0.0000)  3 Ni 2.40-2.51, 4 Cu 2.51
Cu (0.0000, 0.0000, 0.7979)  2 Ni 2.41, 6 Cu 2.46-2.51
Cu (0.0000, 0.7979, 0.0000)  2 Ni 2.41, 6 Cu 2.46-2.51
Cu (0.0000, 0.2021, 0.2021)  2 Ni 2.41, 6 Cu 2.46-2.51
Cu (0.5000, 0.7497, 0.7497)  3 Ni 2.40-2.51, 4 Cu 2.51
Cu (0.5000, 0.0000, 0.2503)  3 Ni 2.40-2.51, 4 Cu 2.51
Er (0.0000, 0.6667, 0.3333)  6 Ni 2.87, 3 Cu 2.92
Er (0.0000, 0.3333, 0.6667)  6 Ni 2.87, 3 Cu 2.92

Calculated values
- Space-group type: P-62m
- Volume: 164.8 Å³/f.u.
- Energy of formation from the pure elements: -0.154 eV/atom


Record 12
First-principles (PBE-GGA) data for a relaxed structure of Er3Cu4Ni2, as listed in Alexandria.

a b c (Å): 4.0711 5.4917 8.1549
angles (deg): 70.13 75.55 68.24
Closest atoms and distances in Å follow each position.
Element x y z (fractional)
Cu (0.9581, 0.7054, 0.3784)  2 Ni 2.39, 1 Cu 2.42
Cu (0.2792, 0.3823, 0.0594)  1 Ni 2.42, 2 Cu 2.42
Cu (0.7208, 0.6177, 0.9406)  1 Ni 2.42, 2 Cu 2.42
Cu (0.0419, 0.2946, 0.6216)  2 Ni 2.39, 1 Cu 2.42
Er (0.6765, 0.3020, 0.3450)  4 Ni 2.93-3.12, 8 Cu 2.96-3.16
Er (0.3235, 0.6980, 0.6550)  4 Ni 2.93-3.12, 8 Cu 2.96-3.16
Er (0.0000, 0.0000, 0.0000)  4 Ni 2.90, 8 Cu 2.94-3.06
Ni (0.6027, 0.0635, 0.7310)  3 Cu 2.39-2.42
Ni (0.3973, 0.9365, 0.2690)  3 Cu 2.39-2.42

Calculated values
- Space-group type: C2/m
- Volume: 157.7 Å³/f.u.
- Energy of formation from the pure elements: -0.316 eV/atom


Record 13
First-principles (PBE-GGA) data for a relaxed structure of Er2Cu12Ni5, as listed in Alexandria.

a b c (Å): 6.3716 6.3716 6.3716
angles (deg): 82.84 82.84 82.84
Closest atoms and distances in Å follow each position.
Element x y z (fractional)
Ni (0.0000, 0.0000, 0.5000)  8 Cu 2.42-2.44, 2 Ni 2.57
Ni (0.0995, 0.0995, 0.0995)  4 Ni 2.45-2.57, 3 Cu 2.63
Ni (0.9005, 0.9005, 0.9005)  4 Ni 2.45-2.57, 3 Cu 2.63
Ni (0.5000, 0.0000, 0.0000)  8 Cu 2.42-2.44, 2 Ni 2.57
Ni (0.0000, 0.5000, 0.0000)  8 Cu 2.42-2.44, 2 Ni 2.57
Cu (0.2940, 0.0000, 0.7060)  2 Ni 2.42, 6 Cu 2.48-2.57
Cu (0.7060, 0.2940, 0.0000)  2 Ni 2.42, 6 Cu 2.48-2.57
Cu (0.7060, 0.0000, 0.2940)  2 Ni 2.42, 6 Cu 2.48-2.57
Cu (0.0000, 0.2940, 0.7060)  2 Ni 2.42, 6 Cu 2.48-2.57
Cu (0.3471, 0.3471, 0.8477)  3 Ni 2.44-2.63, 6 Cu 2.46-2.57
Cu (0.6529, 0.1523, 0.6529)  3 Ni 2.44-2.63, 6 Cu 2.46-2.57
Cu (0.3471, 0.8477, 0.3471)  3 Ni 2.44-2.63, 6 Cu 2.46-2.57
Cu (0.6529, 0.6529, 0.1523)  3 Ni 2.44-2.63, 6 Cu 2.46-2.57
Cu (0.2940, 0.7060, 0.0000)  2 Ni 2.42, 6 Cu 2.48-2.57
Cu (0.0000, 0.7060, 0.2940)  2 Ni 2.42, 6 Cu 2.48-2.57
Cu (0.8477, 0.3471, 0.3471)  3 Ni 2.44-2.63, 6 Cu 2.46-2.57
Cu (0.1523, 0.6529, 0.6529)  3 Ni 2.44-2.63, 6 Cu 2.46-2.57
Er (0.3287, 0.3287, 0.3287)  4 Ni 2.83-3.15, 12 Cu 2.99-3.12
Er (0.6713, 0.6713, 0.6713)  4 Ni 2.83-3.15, 12 Cu 2.99-3.12

Calculated values
- Space-group type: R-3m
- Volume: 253.1 Å³/f.u.
- Energy of formation from the pure elements: -0.157 eV/atom